Computed, not measured: Mg2MnOsO6 after structural relaxation at the PBE+U level of DFT.

a = 5.2793 Å, b = 5.2793 Å, c = 4.9548 Å
α = 90.00°, β = 90.00°, γ = 90.00°
Closest atoms and distances in Å follow each position.
Positions (direct):
Mg 0.0000 0.5000 0.0000  4 O 2.06
Mg 0.5000 0.0000 0.0000  4 O 2.06
Mn 0.0000 0.0000 0.6333  1 O 1.94
Os 0.5000 0.5000 0.6640  5 O 1.72-1.93
O 0.0000 0.0000 0.2427  1 Mn 1.94
O 0.2648 0.2648 0.8238  1 Os 1.93, 2 Mg 2.06
O 0.2648 0.7352 0.8238  1 Os 1.93, 2 Mg 2.06
O 0.5000 0.5000 0.3161  1 Os 1.72
O 0.7352 0.2648 0.8238  1 Os 1.93, 2 Mg 2.06
O 0.7352 0.7352 0.8238  1 Os 1.93, 2 Mg 2.06

DFT total energy = -66.64 eV per cell
size of the total moment = 4.99 μB per formula unit
space group = P4mm, No. 99